Compound: FeCo3
Source: Alexandria via LeMat-Bulk
Functional: GGA-PBEsol
Structure: optimized geometry Values from VASP.

Geometry as Quantum ESPRESSO input:
```
&SYSTEM
  ibrav = 0, nat = 16, ntyp = 2
/
ATOMIC_SPECIES
Co 58.93 Co.upf
Fe 55.84 Fe.upf
ATOMIC_POSITIONS crystal
Co 0.585 0.124 0.750
Co 0.244 0.626 0.004
Co 0.244 0.626 0.496
Co 0.256 0.126 0.504
Co 0.256 0.126 0.996
Co 0.915 0.624 0.250
Co 0.085 0.376 0.750
Co 0.744 0.874 0.004
Co 0.744 0.874 0.496
Co 0.756 0.374 0.504
Co 0.756 0.374 0.996
Co 0.415 0.876 0.250
Fe 0.417 0.377 0.250
Fe 0.083 0.877 0.750
Fe 0.917 0.123 0.250
Fe 0.583 0.623 0.750
CELL_PARAMETERS angstrom
4.274 0.000 0.000
0.000 4.910 0.000
0.000 0.000 8.022
```

Computed properties:
The calculation puts the total moment at 28.57 Bohr magnetons per cell. For the density of states at the Fermi level, the calculation gives 1.060 states/eV per atom. As for the formation energy: 39 meV/atom.